[1]
A plane-wave DFT calculation with PBE was carried out for a geometry-optimized LiBeP2 structure.

Output
DFT formation energy	-0.056	eV/atom

Unit cell a=3.601 b=2.798 c=5.367 alpha=89.99 beta=90.00 gamma=90.00
Fractional positions:
Be1 0.500 0.250 0.250
P1 0.000 0.250 0.494
Li1 0.500 0.750 0.750
P2 0.000 0.250 0.006

[2]
A plane-wave DFT calculation with PBE was carried out for a geometry-optimized AcAg2Au9 structure.

Output
DFT formation energy	-0.223	eV/atom

Unit cell a=5.604 b=5.604 c=9.756 alpha=73.31 beta=73.31 gamma=60.00
Fractional positions:
Ac1 0.000 0.000 0.000
Au1 0.411 0.411 0.259
Au2 0.589 0.082 0.741
Au3 0.667 0.667 0.000
Ag1 0.150 0.150 0.549
Au4 0.500 0.500 0.500
Au5 0.918 0.411 0.259
Au6 0.082 0.589 0.741
Ag2 0.850 0.850 0.451
Au7 0.411 0.918 0.259
Au8 0.589 0.589 0.741
Au9 0.333 0.333 0.000

[3]
A plane-wave DFT calculation with PBE was carried out for a geometry-optimized CeCdHg structure.

Output
DFT formation energy	-0.172	eV/atom

Unit cell a=4.966 b=4.966 c=4.966 alpha=60.00 beta=60.00 gamma=60.00
Fractional positions:
Ce1 0.000 0.000 0.000
Cd1 0.500 0.500 0.500
Hg1 0.250 0.250 0.250